The following is a DFT calculation (PBE) of a relaxed structure of Al2SbS2.

Summary:
- Raw total energy: -3.914 eV per atom
- N(E_F): 4.672 states/eV/cell
- Energy relative to the lowest polymorph listed for this composition: 0.59 eV per formula unit

POSCAR file:
```
Al2SbS2
1.0
7.788 0.000 0.000
0.000 7.788 0.000
0.000 0.000 3.435
S Sb Al
4 2 4
Direct
0.148 0.352 0.000 S
0.352 0.852 0.000 S
0.648 0.148 0.000 S
0.852 0.648 0.000 S
0.500 0.500 0.000 Sb
0.000 0.000 0.000 Sb
0.700 0.800 0.500 Al
0.200 0.700 0.500 Al
0.800 0.300 0.500 Al
0.300 0.200 0.500 Al
```

The following is a DFT calculation (PBE) of a relaxed structure of AlSbS3.

Summary:
- Raw total energy: -4.690 eV per atom
- N(E_F): 0.000 states/eV/cell
- Energy relative to the lowest polymorph listed for this composition: 0.00 eV per formula unit

POSCAR file:
```
AlSbS3
1.0
3.847 0.000 0.000
0.000 6.083 0.000
-1.923 0.000 11.395
S Al Sb
6 2 2
Direct
0.794 0.783 0.588 S
0.096 0.796 0.192 S
0.904 0.296 0.808 S
0.576 0.276 0.152 S
0.206 0.283 0.412 S
0.424 0.776 0.848 S
0.117 0.439 0.233 Al
0.883 0.939 0.767 Al
0.338 0.500 0.676 Sb
0.662 0.000 0.324 Sb
```

The following is a DFT calculation (PBE) of a relaxed structure of AlSi2SbS.

Summary:
- Raw total energy: -3.771 eV per atom
- N(E_F): 3.115 states/eV/cell

POSCAR file:
```
AlSi2SbS
1.0
-0.266 4.222 1.750
-3.501 1.314 -3.702
-3.407 -1.352 2.742
S Si Sb Al
1 2 1 1
Direct
0.000 0.000 0.000 S
0.500 0.000 0.000 Si
0.000 0.000 0.500 Si
0.000 0.500 0.000 Sb
0.500 0.500 0.500 Al
```

The following is a DFT calculation (PBE) of a relaxed structure of Sr2AlSbS5.

Summary:
- Raw total energy: -4.887 eV per atom
- N(E_F): 0.000 states/eV/cell

POSCAR file:
```
Sr2AlSbS5
1.0
3.966 0.000 0.000
-1.983 8.803 0.000
0.000 0.000 12.645
S Sr Al Sb
10 4 2 2
Direct
0.656 0.312 0.510 S
0.715 0.429 0.184 S
0.020 0.041 0.011 S
0.676 0.351 0.879 S
0.344 0.688 0.010 S
0.285 0.571 0.684 S
0.493 0.985 0.764 S
0.980 0.959 0.511 S
0.324 0.649 0.379 S
0.507 0.015 0.264 S
0.127 0.255 0.332 Sr
0.873 0.745 0.832 Sr
0.112 0.225 0.683 Sr
0.888 0.775 0.183 Sr
0.550 0.099 0.921 Al
0.450 0.901 0.421 Al
0.203 0.406 0.038 Sb
0.797 0.594 0.538 Sb
```

The following is a DFT calculation (PBE) of a relaxed structure of AlSb2TeS.

Summary:
- Raw total energy: -3.261 eV per atom
- N(E_F): 4.780 states/eV/cell
- Energy relative to the lowest polymorph listed for this composition: 0.00 eV per formula unit

POSCAR file:
```
AlSb2TeS
1.0
-3.184 -4.133 -0.441
3.828 -3.132 1.715
-1.637 0.730 4.987
Sb Al Te S
2 1 1 1
Direct
0.500 0.000 0.000 Sb
0.000 0.500 0.000 Sb
0.500 0.500 0.500 Al
0.000 0.000 0.500 Te
0.000 0.000 0.000 S
```

The following is a DFT calculation (PBE) of a relaxed structure of AlSb2TeS.

Summary:
- Raw total energy: -3.169 eV per atom
- N(E_F): 6.711 states/eV/cell
- Energy relative to the lowest polymorph listed for this composition: 0.46 eV per formula unit

POSCAR file:
```
AlSb2TeS
1.0
-0.169 -3.881 3.599
3.763 2.443 2.812
-3.602 2.563 2.594
S Sb Te Al
1 2 1 1
Direct
0.500 0.500 0.500 S
0.500 0.000 0.000 Sb
0.000 0.500 0.000 Sb
0.000 0.000 0.500 Te
0.000 0.000 0.000 Al
```